# 1
La8Te4P3H: relaxed, PBE.

```
16
Lattice="4.3321 2.5011 7.3815 -4.3321 2.5011 7.3815 0.0000 -5.0022 7.3815" Properties=species:S:1:pos:R:3 pbc="T T T"
La -2.2147 -1.2787 12.6829
La 0.0000 0.0000 5.2663
La 0.0000 -2.5573 9.4615
La -2.2147 1.2787 9.4615
La 2.2147 -1.2787 12.6829
La 0.0000 2.5573 12.6829
La 0.0000 0.0000 16.8782
La 2.2147 1.2787 9.4616
Te 0.0000 0.0000 0.0000
Te -2.1660 -1.2506 7.3815
Te -2.1660 1.2506 14.7630
Te 0.0000 2.5011 7.3815
P -4.3321 0.0000 11.0722
P -2.1660 1.2506 3.6907
P 2.1660 1.2506 3.6907
H 0.0000 0.0000 11.0722
```

Properties
symmetry	R-3m
calculated volume	479.89	Å³/f.u.
size of the total moment	0.00	μB per formula unit
raw total energy	-94.8	eV per cell

# 2
LaYbMo12Se16: relaxed, PBE.

```
30
Lattice="6.8328 0.0000 0.0000 0.1284 6.8322 0.0000 0.2270 0.2404 13.6580" Properties=species:S:1:pos:R:3 pbc="T T T"
La 0.0000 0.0000 0.0000
Yb 0.1135 0.1202 6.8290
Mo 1.8202 3.9751 9.7067
Mo 1.7616 3.8992 2.9064
Mo 3.0771 1.7850 10.6393
Mo 3.0139 1.6992 3.8350
Mo 3.2587 4.1380 12.0346
Mo 3.1940 4.0418 5.2253
Mo 3.9942 3.0308 8.4326
Mo 3.9295 2.9346 1.6234
Mo 4.1742 5.3734 9.8230
Mo 4.1111 5.2877 3.0187
Mo 5.4266 3.1734 10.7516
Mo 5.3679 3.0975 3.9513
Se 1.0623 2.7665 11.9583
Se 0.9978 2.6626 5.1386
Se 1.7912 1.7777 8.4543
Se 1.7261 1.6946 1.6590
Se 1.9617 6.1749 11.0774
Se 1.9091 6.0874 4.2841
Se 2.7570 5.2637 7.6633
Se 2.6987 5.1633 0.8384
Se 4.4894 1.9093 12.8196
Se 4.4312 1.8089 5.9947
Se 5.2791 0.9853 9.3739
Se 5.2264 0.8977 2.5806
Se 5.4621 5.3781 11.9990
Se 5.3970 5.2949 5.2037
Se 6.1903 4.4100 8.5194
Se 6.1258 4.3061 1.6997
```

Properties
formation energy from raw total energies	-0.73	eV per atom
symmetry	P-1
calculated volume	637.60	Å³/f.u.
size of the total moment	0.31	μB per formula unit
raw total energy	-214.2	eV per cell

# 3
CuAs2RhBr: relaxed, PBE.

```
5
Lattice="4.7094 0.0000 0.0000 0.0000 4.7094 0.0000 0.0000 0.0000 5.4282" Properties=species:S:1:pos:R:3 pbc="T T T"
Cu 0.0000 0.0000 0.0000
As 0.0000 2.3547 2.7141
As 2.3547 0.0000 2.7141
Rh 2.3547 2.3547 2.7141
Br 2.3547 2.3547 0.0000
```

Properties
offset from the most stable computed form	0	meV per atom
formation energy from raw total energies	0.59	eV per atom
symmetry	P4/mmm
calculated volume	120.39	Å³/f.u.
size of the total moment	0.00	μB per formula unit
raw total energy	-19.5	eV per cell

Q: What is the size of the total moment in the first record?
A: 0.00 μB per formula unit